The following is a GGA-PBE calculation of a relaxed structure of La8SiTe4P3, from Alexandria.

crystal system: trigonal
formation energy from raw total energies: -149.4 kJ per mole of atoms

Lattice parameters (Å, degrees): 9.011 9.011 9.011 58.31 58.31 58.31
Sites, in units of the cell vectors:
La (0.239, 0.239, 0.239)
La (0.239, 0.740, 0.740)
La (0.260, 0.260, 0.761)
La (0.260, 0.761, 0.260)
La (0.740, 0.239, 0.740)
La (0.740, 0.740, 0.239)
La (0.761, 0.260, 0.260)
La (0.761, 0.761, 0.761)
Si (0.500, 0.500, 0.500)
Te (0.000, 0.000, 0.000)
Te (0.000, 0.500, 0.500)
Te (0.500, 0.000, 0.500)
Te (0.500, 0.500, 0.000)
P (0.000, 0.000, 0.500)
P (0.000, 0.500, 0.000)
P (0.500, 0.000, 0.000)

---

The following is a GGA-PBE calculation of a relaxed structure of TlSnPb6, from Alexandria.

DFT formation energy: 0.17 eV per formula unit
crystal system: tetragonal

Lattice parameters (Å, degrees): 5.146 5.146 9.421 90.00 90.00 90.00
Sites, in units of the cell vectors:
Tl (0.000, 0.000, 0.000)
Sn (0.000, 0.000, 0.500)
Pb (0.000, 0.500, 0.258)
Pb (0.000, 0.500, 0.742)
Pb (0.500, 0.000, 0.258)
Pb (0.500, 0.000, 0.742)
Pb (0.500, 0.500, 0.000)
Pb (0.500, 0.500, 0.500)

---

The following is a GGA-PBE calculation of a relaxed structure of YPt2Rh, from Alexandria.

DFT formation energy: -2.23 eV per formula unit
crystal system: cubic
excess energy over the best structure of this formula in the dataset: 267 meV per atom

Lattice parameters (Å, degrees): 4.670 4.670 4.670 60.00 60.00 60.00
Sites, in units of the cell vectors:
Y (0.000, 0.000, 0.000)
Pt (0.250, 0.250, 0.250)
Pt (0.750, 0.750, 0.750)
Rh (0.500, 0.500, 0.500)

---

The following is a GGA-PBE calculation of a relaxed structure of Tb5Sm4Al, from Alexandria.

DFT formation energy: -0.62 eV per formula unit
crystal system: tetragonal
excess energy over the best structure of this formula in the dataset: 0 meV per atom

Lattice parameters (Å, degrees): 3.585 3.585 24.239 90.00 90.00 90.00
Sites, in units of the cell vectors:
Tb (0.000, 0.000, 0.000)
Tb (0.000, 0.000, 0.211)
Tb (0.000, 0.000, 0.423)
Tb (0.000, 0.000, 0.577)
Tb (0.000, 0.000, 0.789)
Sm (0.500, 0.500, 0.105)
Sm (0.500, 0.500, 0.316)
Sm (0.500, 0.500, 0.684)
Sm (0.500, 0.500, 0.895)
Al (0.500, 0.500, 0.500)

---

| no. | M_tot (μB per formula unit) | E_tot (eV per cell) |
| --- | --- | --- |
| 1 | 0.00 | -98.4 |
| 2 | 0.00 | -28.5 |
| 3 | 0.00 | -28.1 |
| 4 | 0.00 | -46.4 |